Entry 1:
First-principles (GGA-PBE) data for SrPmRh4 after structural relaxation, as listed in the Alexandria database.

Cell lengths 7.6905, 7.6905, 7.6905 Å; angles 90.00, 90.00, 90.00 degrees
Closest atoms and distances in Å follow each position.
Space group F-43m (No. 216)
Inequivalent atoms, fractional coordinates:
Sr  0.0000  0.0000  0.0000 [4 per cell]  12 Rh 3.19, 4 Pm 3.33
Pm  0.2500  0.2500  0.2500 [4 per cell]  12 Rh 3.19, 4 Sr 3.33
Rh  0.1248  0.1248  0.6248 [16 per cell]  6 Rh 2.71-2.72

Calculated values
calculated formation energy: -0.479 eV per atom

Entry 2:
First-principles (GGA-PBE) data for SrPm2Rh after structural relaxation, as listed in the Alexandria database.

Cell lengths 4.1697, 4.1697, 28.9287 Å; angles 90.00, 90.00, 120.00 degrees
Closest atoms and distances in Å follow each position.
Space group R3m (No. 160, hexagonal axes)
Inequivalent atoms, fractional coordinates:
Sr  0.0000  0.0000  0.0000 [3 per cell]  6 Pm 4.08-4.16, 6 Sr 4.17
Pm  0.0000  0.0000  0.5493 [3 per cell]  3 Rh 2.82
Pm  0.0000  0.0000  0.7806 [3 per cell]  3 Rh 2.82
Rh  0.0000  0.0000  0.1650 [3 per cell]  6 Pm 2.82

Calculated values
calculated formation energy: -0.354 eV per atom
relative energy among the computed polymorphs: 0 meV per atom

Entry 3:
First-principles (GGA-PBE) data for SrPm2Rh after structural relaxation, as listed in the Alexandria database.

Cell lengths 4.1455, 4.1455, 29.7307 Å; angles 90.00, 90.00, 120.00 degrees
Closest atoms and distances in Å follow each position.
Space group R-3m (No. 166, hexagonal axes)
Inequivalent atoms, fractional coordinates:
Sr  0.0000  0.0000  0.0000 [3 per cell]  6 Sr 4.15, 6 Pm 4.21
Pm  0.0000  0.0000  0.2168 [6 per cell]  3 Rh 2.82
Rh  0.0000  0.0000  0.5000 [3 per cell]  6 Pm 2.82

Calculated values
calculated formation energy: -0.343 eV per atom
relative energy among the computed polymorphs: 10 meV per atom

Entry 4:
First-principles (GGA-PBE) data for SrPm2Rh9 after structural relaxation, as listed in the Alexandria database.

Cell lengths 5.3559, 5.3559, 26.3966 Å; angles 90.00, 90.00, 120.00 degrees
Closest atoms and distances in Å follow each position.
Space group R-3m (No. 166, hexagonal axes)
Inequivalent atoms, fractional coordinates:
Sr  0.0000  0.0000  0.0000 [3 per cell]  18 Rh 3.09-3.45
Pm  0.0000  0.0000  0.1383 [6 per cell]  12 Rh 3.06-3.35
Rh  0.0000  0.0000  0.3326 [6 per cell]  6 Rh 2.65-2.68
Rh  0.0000  0.0000  0.5000 [3 per cell]  6 Rh 2.71
Rh  0.0009  0.5005  0.0823 [18 per cell]  7 Rh 2.65-2.71

Calculated values
calculated formation energy: -0.410 eV per atom

Entry 5:
First-principles (GGA-PBE) data for SrPm4Rh4 after structural relaxation, as listed in the Alexandria database.

Cell lengths 9.2340, 9.2340, 5.7095 Å; angles 90.00, 90.00, 90.00 degrees
Closest atoms and distances in Å follow each position.
Space group P4_2/n (No. 86, origin choice 2)
Inequivalent atoms, fractional coordinates:
Sr  0.2500  0.2500  0.2500 [2 per cell]  4 Rh 3.06
Pm  0.0785  0.6523  0.1656 [8 per cell]  5 Rh 2.79-2.99
Rh  0.0474  0.6147  0.6618 [8 per cell]  5 Pm 2.79-2.99, 1 Rh 2.94, 1 Sr 3.06

Calculated values
calculated formation energy: -0.510 eV per atom

Entry 6:
First-principles (GGA-PBE) data for SrPmTeRh after structural relaxation, as listed in the Alexandria database.

Cell lengths 7.5339, 7.5339, 7.5339 Å; angles 90.00, 90.00, 90.00 degrees
Closest atoms and distances in Å follow each position.
Space group F-43m (No. 216)
Inequivalent atoms, fractional coordinates:
Sr  0.0000  0.0000  0.0000 [4 per cell]  4 Te 3.26, 4 Rh 3.26
Pm  0.0000  0.0000  0.5000 [4 per cell]  4 Te 3.26, 4 Rh 3.26
Te  0.2500  0.2500  0.7500 [4 per cell]  4 Pm 3.26, 4 Sr 3.26
Rh  0.2500  0.2500  0.2500 [4 per cell]  4 Pm 3.26, 4 Sr 3.26

Calculated values
raw formation energy: -675 meV per atom

Entry 7:
First-principles (GGA-PBE) data for SrPmTlRh after structural relaxation, as listed in the Alexandria database.

Cell lengths 7.5210, 7.5210, 7.5210 Å; angles 90.00, 90.00, 90.00 degrees
Closest atoms and distances in Å follow each position.
Space group F-43m (No. 216)
Inequivalent atoms, fractional coordinates:
Sr  0.0000  0.0000  0.0000 [4 per cell]  4 Rh 3.26, 4 Tl 3.26
Pm  0.0000  0.0000  0.5000 [4 per cell]  4 Tl 3.26, 4 Rh 3.26
Tl  0.2500  0.2500  0.7500 [4 per cell]  4 Pm 3.26, 4 Sr 3.26
Rh  0.2500  0.2500  0.2500 [4 per cell]  4 Pm 3.26, 4 Sr 3.26

Calculated values
calculated formation energy: -0.276 eV per atom

Entry 8:
First-principles (GGA-PBE) data for SrPmZnRh after structural relaxation, as listed in the Alexandria database.

Cell lengths 7.2846, 7.2846, 7.2846 Å; angles 90.00, 90.00, 90.00 degrees
Closest atoms and distances in Å follow each position.
Space group F-43m (No. 216)
Inequivalent atoms, fractional coordinates:
Sr  0.0000  0.0000  0.0000 [4 per cell]  4 Zn 3.15, 4 Rh 3.15
Pm  0.0000  0.0000  0.5000 [4 per cell]  4 Rh 3.15, 4 Zn 3.15
Zn  0.2500  0.2500  0.7500 [4 per cell]  4 Pm 3.15, 4 Sr 3.15
Rh  0.2500  0.2500  0.2500 [4 per cell]  4 Sr 3.15, 4 Pm 3.15

Calculated values
calculated formation energy: -0.290 eV per atom

Entry 9:
First-principles (GGA-PBE) data for PmTaRh2 after structural relaxation, as listed in the Alexandria database.

Cell lengths 3.1965, 3.1965, 7.4388 Å; angles 90.00, 90.00, 90.00 degrees
Closest atoms and distances in Å follow each position.
Space group P4/mmm (No. 123)
Inequivalent atoms, fractional coordinates:
Pm  0.0000  0.0000  0.0000 [1 per cell]  8 Rh 3.19, 4 Pm 3.20
Ta  0.0000  0.0000  0.5000 [1 per cell]  8 Rh 2.70
Rh  0.5000  0.5000  0.3017 [2 per cell]  4 Ta 2.70, 1 Rh 2.95

Calculated values
calculated formation energy: -0.535 eV per atom
relative energy among the computed polymorphs: 0 meV per atom

Entry 10:
First-principles (GGA-PBE) data for PmTaRh2 after structural relaxation, as listed in the Alexandria database.

Cell lengths 4.9158, 4.9158, 3.0670 Å; angles 90.00, 90.00, 90.00 degrees
Closest atoms and distances in Å follow each position.
Space group P4/mmm (No. 123)
Inequivalent atoms, fractional coordinates:
Pm  0.0000  0.0000  0.0000 [1 per cell]  8 Rh 2.90, 2 Pm 3.07
Ta  0.5000  0.5000  0.0000 [1 per cell]  8 Rh 2.90, 2 Ta 3.07
Rh  0.0000  0.5000  0.5000 [2 per cell]  4 Ta 2.90, 4 Pm 2.90, 2 Rh 3.07

Calculated values
calculated formation energy: -0.347 eV per atom
relative energy among the computed polymorphs: 188 meV per atom

Entry 11:
First-principles (GGA-PBE) data for PmTaRh2 after structural relaxation, as listed in the Alexandria database.

Cell lengths 4.3429, 4.3429, 15.1406 Å; angles 90.00, 90.00, 120.00 degrees
Closest atoms and distances in Å follow each position.
Space group R-3m (No. 166, hexagonal axes)
Inequivalent atoms, fractional coordinates:
Pm  0.0000  0.0000  0.0000 [3 per cell]  8 Rh 3.08-3.26
Ta  0.0000  0.0000  0.5000 [3 per cell]  6 Rh 2.61
Rh  0.0000  0.0000  0.2155 [6 per cell]  3 Ta 2.61, 3 Rh 2.91

Calculated values
calculated formation energy: -0.458 eV per atom
relative energy among the computed polymorphs: 77 meV per atom

Entry 12:
First-principles (GGA-PBE) data for TbPmRh after structural relaxation, as listed in the Alexandria database.

Cell lengths 3.5063, 3.5063, 12.8263 Å; angles 90.00, 90.00, 90.00 degrees
Closest atoms and distances in Å follow each position.
Space group I4mm (No. 107)
Inequivalent atoms, fractional coordinates:
Tb  0.0000  0.0000  0.0000 [2 per cell]  4 Rh 2.94
Pm  0.0000  0.0000  0.2591 [2 per cell]  4 Rh 3.03, 1 Tb 3.32
Rh  0.0000  0.0000  0.6231 [2 per cell]  4 Tb 2.94, 4 Pm 3.03

Calculated values
calculated formation energy: -0.488 eV per atom
relative energy among the computed polymorphs: 89 meV per atom